A plane-wave DFT calculation with GGA-PBE was carried out for a geometry-optimized Li2AlPtO4 structure.

Calculated values
E_form (uncorrected) in eV/atom: -1.734
Spin magnetization in μB per atom: 0.114
Calculated total energy in eV for the cell shown: -47.3

abc: 5.3462 2.9080 5.5620
angles: 90.00 115.96 90.00
With the nearest neighbours (Å) after each atom.
Space group P2/m (No. 10)
Asymmetric unit:
Li 0.0000 0.0000 0.0000  4 O 2.16
Li 0.0000 0.5000 0.5000  6 O 2.11-2.19
Al 0.5000 0.0000 0.5000  6 O 1.95
Pt 0.5000 0.5000 0.0000  4 O 2.06
O 0.2619 0.5000 0.2874  2 Al 1.95, 2 Li 2.16
O 0.2991 0.0000 0.7194  1 Al 1.95, 2 Pt 2.06, 2 Li 2.11